Entry 1:
## Pa3SiTc2 (PBE)

Data for an optimized crystal structure of Pa3SiTc2.

Properties
The space group is C2/m, No. 12. Its crystal system is monoclinic.

```
Pa3SiTc2
1.0
7.0456 0.0000 -0.4649
3.5228 5.3144 -0.2324
2.0324 0.0000 6.8845
Pa Si Tc
6 2 4
direct
0.3877 0.6597 0.7635
0.2228 0.0000 0.3092
0.6123 0.3403 0.2365
0.9526 0.6597 0.2365
0.0474 0.3403 0.7635
0.7772 0.0000 0.6908
0.6191 0.7617 0.0000
0.3809 0.2383 0.0000
0.0000 0.0000 0.0000
0.5000 0.0000 0.5000
0.2144 0.5711 0.5000
0.7856 0.4289 0.5000
```



Entry 2:
## Er5Si3C (PBE)

Data for an optimized crystal structure of Er5Si3C.

Properties
The space group is P6_3/mcm, No. 193. Its crystal system is hexagonal.

```
Er5Si3C
1.0
8.3576 0.0000 0.0000
-4.1788 7.2379 0.0000
0.0000 0.0000 6.3573
C Er Si
2 10 6
direct
0.0000 0.0000 0.0000
0.0000 0.0000 0.5000
0.3333 0.6667 0.0000
0.6667 0.3333 0.5000
0.6667 0.3333 0.0000
0.3333 0.6667 0.5000
0.2229 0.0000 0.2500
0.0000 0.2229 0.2500
0.7771 0.7771 0.2500
0.7771 0.0000 0.7500
0.0000 0.7771 0.7500
0.2229 0.2229 0.7500
0.5895 0.0000 0.2500
0.0000 0.5895 0.2500
0.4105 0.4105 0.2500
0.4105 0.0000 0.7500
0.0000 0.4105 0.7500
0.5895 0.5895 0.7500
```



Entry 3:
## MgBe2Fe (PBE)

Data for an optimized crystal structure of MgBe2Fe.

Properties
The space group is Imm2, No. 44. Its crystal system is orthorhombic. The calculation puts the formation energy at 0.1989 eV per atom.

```
MgBe2Fe
1.0
-4.1475 -1.7172 -1.5031
-2.7503 -2.2564 3.1232
2.1850 4.0310 -1.1777
Be Mg Fe
2 1 1
direct
0.9753 0.9753 0.0000
0.7591 0.2591 0.5000
0.2444 0.7444 0.5000
0.5212 0.5212 0.0000
```



Entry 4:
## Ca2HoTe4 (PBE)

Data for an optimized crystal structure of Ca2HoTe4.

Properties
The space group is Cmcm, No. 63. Its crystal system is orthorhombic.

```
Ca2HoTe4
1.0
4.2182 0.0000 0.0000
-2.1091 7.3659 0.0000
0.0000 0.0000 15.1679
Ca Ho Te
4 2 8
direct
0.1366 0.2733 0.4273
0.8634 0.7267 0.9273
0.1366 0.2733 0.0727
0.8634 0.7267 0.5727
0.6192 0.2383 0.7500
0.3808 0.7617 0.2500
0.7899 0.5799 0.1242
0.7899 0.5799 0.3758
0.2101 0.4201 0.8758
0.2101 0.4201 0.6242
0.9683 0.9365 0.7500
0.0317 0.0635 0.2500
0.5000 0.0000 0.0000
0.5000 0.0000 0.5000
```



Entry 5:
## CaCe2SmSe4 (PBE)

Data for an optimized crystal structure of CaCe2SmSe4.

Properties
The space group is P2/m, No. 10. Its crystal system is monoclinic.

```
CaCe2SmSe4
1.0
4.1737 0.0000 0.0000
0.0000 7.3239 -0.1781
0.0000 2.5459 6.7993
Ca Ce Sm Se
1 2 1 4
direct
0.5000 0.5000 0.0000
0.0000 0.0000 0.0000
0.5000 0.0000 0.5000
0.0000 0.5000 0.5000
0.0000 0.7435 0.7538
0.0000 0.2565 0.2462
0.5000 0.7447 0.2496
0.5000 0.2553 0.7504
```



Entry 6:
## AlTe2Pt (PBE)

Data for an optimized crystal structure of AlTe2Pt.

Properties
The space group is C2/m, No. 12. Its crystal system is monoclinic.

```
AlTe2Pt
1.0
-0.1440 -1.1727 -3.8689
3.4315 -0.7566 -2.0042
0.8234 -6.8784 -0.0439
Te Al Pt
2 1 1
direct
0.0031 0.0031 0.9844
0.4969 0.4969 0.5156
0.2500 0.2500 0.2500
0.7500 0.7500 0.7500
```



Entry 7:
## Sr2MgSc (PBE)

Data for an optimized crystal structure of Sr2MgSc.

Properties
The space group is R-3m, No. 166. Its crystal system is trigonal. The calculation puts the formation energy at 0.2846 eV per atom.

```
Sr2MgSc
1.0
11.9135 -0.0182 -0.0107
11.3055 3.7573 -0.0107
11.3055 1.8206 3.2868
Mg Sc Sr
1 1 2
direct
0.2500 0.2500 0.2500
0.7500 0.7500 0.7500
0.9992 0.9992 0.9992
0.5008 0.5008 0.5008
```



Entry 8:
## ZrReGe3 (PBE)

Data for an optimized crystal structure of ZrReGe3.

Properties
The space group is Pm-3m, No. 221. Its crystal system is cubic. The calculation puts the formation energy at 1.7394 eV per atom. The calculation puts the energy above the lowest structure with this stoichiometry at 1.0766 eV/atom.

```
ZrReGe3
1.0
5.0032 0.0000 0.0000
0.0000 5.0032 0.0000
0.0000 0.0000 5.0032
Re Ge Zr
1 3 1
direct
0.5000 0.5000 0.5000
0.0000 0.5000 0.0000
0.0000 0.0000 0.5000
0.5000 0.0000 0.0000
0.0000 0.0000 0.0000
```



Entry 9:
## Te3PI (PBE)

Data for an optimized crystal structure of Te3PI.

Properties
The space group is Pm-3m, No. 221. Its crystal system is cubic. The calculation puts the energy above the lowest structure with this stoichiometry at 1.1899 eV/atom.

```
Te3PI
1.0
-0.2432 2.5666 -5.2912
3.0397 -4.4785 -2.3121
-5.0342 -2.8282 -1.1405
I P Te
1 1 3
direct
0.0000 0.0000 0.0000
0.5000 0.5000 0.5000
0.0000 0.5000 0.0000
0.0000 0.0000 0.5000
0.5000 0.0000 0.0000
```



Entry 10:
## TeSeN2 (PBE)

Data for an optimized crystal structure of TeSeN2.

Properties
The space group is Fm-3m, No. 225. Its crystal system is cubic. The calculation puts the energy above the lowest structure with this stoichiometry at 1.8623 eV/atom.

```
TeSeN2
1.0
0.0000 2.9876 2.9876
2.9876 0.0000 2.9876
2.9876 2.9876 0.0000
Te Se N
1 1 2
direct
0.5000 0.5000 0.5000
0.0000 0.0000 0.0000
0.2500 0.2500 0.2500
0.7500 0.7500 0.7500
```



Entry 11:
## Fe2HRhN (PBE)

Data for an optimized crystal structure of Fe2HRhN.

Properties
The space group is P4/mmm, No. 123. Its crystal system is tetragonal.

```
Fe2HRhN
1.0
3.4185 0.0000 0.0000
0.0000 4.2593 0.0000
0.0000 0.0000 3.4185
H Rh Fe N
1 1 2 1
direct
0.0000 0.0000 0.0000
0.5000 0.5000 0.5000
0.0000 0.0000 0.5000
0.5000 0.0000 0.0000
0.0000 0.5000 0.0000
```



Entry 12:
## GaBiPSe (PBE)

Data for an optimized crystal structure of GaBiPSe.

Properties
The space group is Cm, No. 8. Its crystal system is monoclinic. The calculation puts the energy above the lowest structure with this stoichiometry at 0.1859 eV/atom.

```
GaBiPSe
1.0
7.9569 0.0000 0.0175
0.0000 3.9136 0.0000
-0.4869 0.0000 6.7453
Ga Bi P Se
2 2 2 2
direct
0.1828 0.0000 0.2706
0.1828 0.5000 0.7706
0.4870 0.0000 0.9601
0.4870 0.5000 0.4601
0.0917 0.0000 0.5965
0.0917 0.5000 0.0965
0.7083 0.0000 0.6427
0.7083 0.5000 0.1427
```



Looking at DOS at the Fermi energy for the records above, in order, we have 6.40, 7.07, 1.72, 2.84, 13.41, 2.54, 5.25, 9.10, 6.01, 2.25, 3.96, 1.13 states/eV/f.u..
Looking at total DFT energy (no corrections) for the records above, in order, we have -110.898, -107.994, -16.714, -60.369, -47.255, -16.841, -10.151, -26.152, -9.661, -15.582, -31.721, -32.063 eV per cell.